The following is a DFT calculation (PBE-GGA) of a relaxed structure of AcUB12.

Values from the calculation:
Fermi-level density of states: 7.650 states/eV per cell
total magnetic moment: 0.20 μB/atom
energy of formation: -0.404 eV/atom

a b c (Å): 4.1367 4.1367 8.2851
angles (deg): 90.00 90.00 90.00
Space group P4/mmm (No. 123)
One atom of each set of equivalent atoms:
Ac: 0.0000 0.0000 0.0000 x1
U: 0.0000 0.0000 0.5000 x1
B: 0.1986 0.5000 0.2545 x8
B: 0.5000 0.5000 0.1018 x2
B: 0.5000 0.5000 0.4026 x2

The following is a DFT calculation (PBE-GGA) of a relaxed structure of AcVB.

Values from the calculation:
Fermi-level density of states: 10.454 states/eV per cell
total magnetic moment: 0.00 μB/atom
energy of formation: 0.184 eV/atom

a b c (Å): 11.5768 3.9055 5.9316
angles (deg): 90.00 109.19 90.00
Space group Cm (No. 8)
One atom of each set of equivalent atoms:
Ac: 0.0000 0.0000 0.0000 x2
Ac: 0.1625 0.5000 0.6148 x2
V: 0.2641 0.5000 0.1671 x2
V: 0.3604 0.0000 0.4028 x2
B: 0.2852 0.0000 0.0217 x2
B: 0.4378 0.5000 0.4616 x2

The following is a DFT calculation (PBE-GGA) of a relaxed structure of Ac2B10W.

Values from the calculation:
Fermi-level density of states: 8.826 states/eV per cell
total magnetic moment: 0.08 μB/atom
energy of formation: -0.316 eV/atom

a b c (Å): 5.9695 11.8889 4.2961
angles (deg): 90.00 90.00 90.00
Space group Pbam (No. 55)
One atom of each set of equivalent atoms:
Ac: 0.2079 0.1386 0.0000 x4
B: 0.0669 0.3071 0.5000 x4
B: 0.1192 0.9568 0.5000 x4
B: 0.1291 0.8031 0.5000 x4
B: 0.2272 0.3807 0.2043 x8
W: 0.0000 0.5000 0.5000 x2

The following is a DFT calculation (PBE-GGA) of a relaxed structure of AcB6W2.

Values from the calculation:
Fermi-level density of states: 5.567 states/eV per cell
total magnetic moment: 0.00 μB/atom
energy of formation: -0.365 eV/atom

a b c (Å): 3.2315 7.1170 8.7160
angles (deg): 90.00 90.00 90.00
Space group Immm (No. 71)
One atom of each set of equivalent atoms:
Ac: 0.0000 0.0000 0.0000 x2
B: 0.0000 0.1561 0.5000 x4
B: 0.0000 0.2358 0.3051 x8
W: 0.0000 0.5000 0.1539 x4

The following is a DFT calculation (PBE-GGA) of a relaxed structure of AcYB12.

Values from the calculation:
Fermi-level density of states: 1.328 states/eV per cell
total magnetic moment: 0.00 μB/atom
energy of formation: -0.467 eV/atom

a b c (Å): 4.1556 4.1556 8.3025
angles (deg): 90.00 90.00 90.00
Space group P4/mmm (No. 123)
One atom of each set of equivalent atoms:
Ac: 0.0000 0.0000 0.0000 x1
Y: 0.0000 0.0000 0.5000 x1
B: 0.1999 0.5000 0.2540 x8
B: 0.5000 0.5000 0.1018 x2
B: 0.5000 0.5000 0.4021 x2

The following is a DFT calculation (PBE-GGA) of a relaxed structure of AcZrB.

Values from the calculation:
Fermi-level density of states: 13.278 states/eV per cell
total magnetic moment: 0.00 μB/atom
energy of formation: -0.071 eV/atom

a b c (Å): 6.6463 5.6403 8.0775
angles (deg): 90.00 96.49 90.00
Space group C2/m (No. 12)
One atom of each set of equivalent atoms:
Ac: 0.2142 0.0000 0.3251 x4
Zr: 0.1998 0.5000 0.1077 x4
B: 0.0000 0.1491 0.0000 x4